# 1
Ta5VTc6 | PBE-GGA | optimized geometry

Results
The calculation puts the formation enthalpy at 0 K at -456.5 meV/atom. The calculation puts the size of the total moment at 0.00 μB/cell. The symmetry is Immm.

Unit cell a=4.479 b=6.338 c=7.742 alpha=114.16 beta=106.82 gamma=90.00
Fractional positions:
V1 0.000 0.000 0.000
Tc1 0.835 0.587 0.670
Tc2 0.835 0.083 0.670
Tc3 0.500 0.754 0.000
Tc4 0.500 0.246 0.000
Tc5 0.165 0.917 0.330
Tc6 0.165 0.413 0.330
Ta1 0.665 0.165 0.330
Ta2 0.333 0.333 0.667
Ta3 0.000 0.500 0.000
Ta4 0.667 0.667 0.333
Ta5 0.335 0.835 0.670



# 2
TaV4Tc5 | PBE-GGA | optimized geometry

Results
The calculation puts the formation enthalpy at 0 K at -371.0 meV/atom. The calculation puts the size of the total moment at 0.00 μB/cell. The symmetry is P4/mmm.

Unit cell a=3.064 b=3.064 c=15.297 alpha=90.00 beta=90.00 gamma=90.00
Fractional positions:
Ta1 0.000 0.000 0.000
V1 0.000 0.000 0.206
V2 0.000 0.000 0.402
V3 0.000 0.000 0.598
V4 0.000 0.000 0.794
Tc1 0.500 0.500 0.108
Tc2 0.500 0.500 0.304
Tc3 0.500 0.500 0.500
Tc4 0.500 0.500 0.696
Tc5 0.500 0.500 0.892



# 3
Ta2V2Tc | PBE-GGA | optimized geometry

Results
The calculation puts the formation enthalpy at 0 K at 806.7 meV/atom. The calculation puts the size of the total moment at 0.00 μB/cell. The value obtained for the excess energy over the best structure of this formula in the dataset is 3.70 eV per formula unit. The symmetry is I4/mmm.

Unit cell a=3.798 b=3.798 c=6.464 alpha=72.92 beta=72.92 gamma=90.00
Fractional positions:
Ta1 0.750 0.250 0.500
Ta2 0.250 0.750 0.500
Tc1 0.000 0.000 0.000
V1 0.419 0.419 0.162
V2 0.581 0.581 0.838



# 4
TaVTcW | PBE-GGA | optimized geometry

Results
The calculation puts the formation enthalpy at 0 K at -239.0 meV/atom. The calculation puts the size of the total moment at 0.00 μB/cell. The value obtained for the excess energy over the best structure of this formula in the dataset is 0.00 eV per formula unit. The symmetry is P4mm.

Unit cell a=3.139 b=3.139 c=6.300 alpha=90.00 beta=90.00 gamma=90.00
Fractional positions:
Ta1 0.500 0.500 0.112
V1 0.500 0.500 0.605
Tc1 0.000 0.000 0.367
W1 0.000 0.000 0.845